# 1
# UV3P2

A relaxed UV3P2 crystal (PBE-GGA, the Alexandria database).

## Properties
* symmetry: C2/m
* total DFT energy (no corrections): -106.68 eV per cell

Cell and atoms, written as extended XYZ:
```
12
Lattice="4.041 0.000 0.000 -2.021 6.563 -0.245 0.000 -3.185 6.892" Properties=species:S:1:pos:R:3 pbc="T T T"
V 2.021 0.958 3.172
V 0.000 4.441 2.045
V 2.021 -1.063 4.602
V 0.000 -0.573 2.473
V 2.021 3.951 4.174
V 0.000 2.419 3.476
P 2.021 3.141 1.878
P 0.000 0.237 4.769
P 0.000 3.562 5.553
P 2.021 -0.184 1.094
U 0.000 1.796 0.351
U 2.021 1.582 6.296
```

=====

# 2
# RhAuC

A relaxed RhAuC crystal (PBE-GGA, the Alexandria database).

## Properties
* offset from the most stable computed form: 505 meV per atom
* symmetry: R3m
* total DFT energy (no corrections): -50.53 eV per cell

Cell and atoms, written as extended XYZ:
```
9
Lattice="2.953 0.000 0.000 -1.477 2.558 0.000 0.000 0.000 18.331" Properties=species:S:1:pos:R:3 pbc="T T T"
Rh 0.000 0.000 7.587
Rh 0.000 1.705 1.477
Rh 1.477 0.853 13.698
C 1.477 0.853 15.410
C 0.000 0.000 9.299
C 0.000 1.705 3.189
Au 1.477 0.853 17.450
Au 0.000 0.000 11.340
Au 0.000 1.705 5.230
```

=====

# 3
# Ni3PdN

A relaxed Ni3PdN crystal (PBE-GGA, the Alexandria database).

## Properties
* raw formation energy: 0.104 eV/atom
* symmetry: P2_1/m
* total DFT energy (no corrections): -121.36 eV per cell

Cell and atoms, written as extended XYZ:
```
20
Lattice="14.882 0.000 -4.085 0.000 5.342 0.000 -5.455 0.000 4.318" Properties=species:S:1:pos:R:3 pbc="T T T"
Pd 2.884 1.335 1.278
Pd -3.626 4.006 3.156
Pd 13.053 1.335 -2.923
Pd 6.543 4.006 -1.045
Ni 4.100 0.007 -0.946
Ni 8.814 0.007 -0.830
Ni 0.613 2.678 1.063
Ni 13.016 4.006 -2.827
Ni 2.847 4.006 1.374
Ni 5.326 2.678 1.179
Ni -3.589 1.335 3.060
Ni 4.101 2.664 -0.946
Ni 5.326 5.335 1.179
Ni 8.814 2.664 -0.830
Ni 0.613 5.335 1.063
Ni 6.580 1.335 -1.141
N 14.471 4.007 -3.844
N 5.124 1.336 -0.124
N -5.044 1.335 4.077
N 4.303 4.006 0.357
```

=====

# 4
# CeLuThHg

A relaxed CeLuThHg crystal (PBE-GGA, the Alexandria database).

## Properties
* symmetry: F-43m
* total DFT energy (no corrections): -17.94 eV per cell

Cell and atoms, written as extended XYZ:
```
4
Lattice="5.391 0.000 0.000 2.695 4.668 0.000 2.695 1.556 4.401" Properties=species:S:1:pos:R:3 pbc="T T T"
Th 0.000 0.000 0.000
Ce 2.695 1.556 1.100
Hg 5.391 3.112 2.201
Lu 8.086 4.668 3.301
```

=====

# 5
# PrNd2Hg4

A relaxed PrNd2Hg4 crystal (PBE-GGA, the Alexandria database).

## Properties
* offset from the most stable computed form: 0 meV per atom
* symmetry: R-3m
* total DFT energy (no corrections): -17.86 eV per cell

Cell and atoms, written as extended XYZ:
```
7
Lattice="5.004 0.000 1.563 2.258 4.466 1.563 -0.224 -0.138 9.508" Properties=species:S:1:pos:R:3 pbc="T T T"
Nd 5.336 3.282 9.291
Nd 1.701 1.046 3.345
Hg 6.260 3.850 6.333
Hg 4.491 2.762 3.205
Hg 0.777 0.478 6.302
Hg 2.546 1.566 9.430
Pr 0.000 0.000 0.000
```

=====

# 6
# HfTaNi2

A relaxed HfTaNi2 crystal (PBE-GGA, the Alexandria database).

## Properties
* offset from the most stable computed form: 50 meV per atom
* symmetry: R-3m
* total DFT energy (no corrections): -34.34 eV per cell

Cell and atoms, written as extended XYZ:
```
4
Lattice="-3.128 2.520 -1.426 -3.917 -1.581 -0.571 -3.282 1.273 3.079" Properties=species:S:1:pos:R:3 pbc="T T T"
Ta -5.164 1.106 0.541
Ni -2.651 0.624 0.546
Ni -7.677 1.589 0.535
Hf 0.000 0.000 0.000
```

=====

# 7
# La2CoHgH

A relaxed La2CoHgH crystal (PBE-GGA, the Alexandria database).

## Properties
* symmetry: P4/mmm
* total DFT energy (no corrections): -21.93 eV per cell

Cell and atoms, written as extended XYZ:
```
5
Lattice="5.325 0.000 0.000 0.000 5.325 0.000 0.000 0.000 3.717" Properties=species:S:1:pos:R:3 pbc="T T T"
H 0.000 0.000 0.000
La 2.662 0.000 0.000
La 0.000 2.662 0.000
Hg 2.662 2.662 1.858
Co 0.000 0.000 1.858
```

=====

# 8
# Er4InB3Rh12

A relaxed Er4InB3Rh12 crystal (PBE-GGA, the Alexandria database).

## Properties
* symmetry: Im-3m
* total DFT energy (no corrections): -140.00 eV per cell

Cell and atoms, written as extended XYZ:
```
20
Lattice="-2.041 7.092 1.484 -1.670 -1.647 -7.153 -3.699 -4.687 4.584" Properties=species:S:1:pos:R:3 pbc="T T T"
B -1.856 2.722 -2.834
B -2.870 1.202 3.034
B -2.685 -3.167 -1.284
Rh -3.612 -1.806 -2.702
Rh -1.039 1.524 -1.586
Rh -3.198 1.139 -3.477
Rh -3.798 2.563 1.617
Rh -3.867 -4.562 -1.850
Rh -4.120 -2.566 0.233
Rh -4.134 1.732 4.370
Rh -3.291 3.323 -1.317
Rh -1.606 0.673 1.698
Rh -1.502 -1.773 -0.719
Rh -2.673 3.921 -4.082
Rh -4.212 -0.381 2.392
Er -1.021 3.546 0.742
Er -0.835 -0.824 -3.576
Er -1.849 -2.344 2.292
Er -3.705 0.379 -0.542
In 0.000 0.000 0.000
```

=====

# 9
# ZrMnIn

A relaxed ZrMnIn crystal (PBE-GGA, the Alexandria database).

## Properties
* symmetry: I4mm
* total DFT energy (no corrections): -20.55 eV per cell

Cell and atoms, written as extended XYZ:
```
3
Lattice="6.004 -0.013 0.014 5.132 3.117 0.010 0.872 0.247 3.120" Properties=species:S:1:pos:R:3 pbc="T T T"
In 10.989 3.063 0.068
Zr 7.840 2.187 1.018
Mn 4.315 1.205 2.081
```

=====

# 10
# MnSi2Te

A relaxed MnSi2Te crystal (PBE-GGA, the Alexandria database).

## Properties
* raw formation energy: 0.456 eV/atom
* symmetry: Imm2
* total DFT energy (no corrections): -21.33 eV per cell

Cell and atoms, written as extended XYZ:
```
4
Lattice="-2.439 2.045 -3.915 -0.095 -3.906 -3.192 -1.775 1.143 4.582" Properties=species:S:1:pos:R:3 pbc="T T T"
Te -1.259 -0.925 -3.532
Si -2.841 1.055 -1.726
Si -2.509 -1.843 -7.036
Mn -1.500 -1.796 -0.890
```

=====

# 11
# MgTl3Pb4

A relaxed MgTl3Pb4 crystal (PBE-GGA, the Alexandria database).

## Properties
* symmetry: P4/mmm
* total DFT energy (no corrections): -23.65 eV per cell

Cell and atoms, written as extended XYZ:
```
8
Lattice="-0.908 -0.579 -3.348 3.389 -0.399 -0.850 -1.319 -18.975 3.637" Properties=species:S:1:pos:R:3 pbc="T T T"
Tl 0.926 -5.020 -1.231
Tl 0.581 -9.976 -0.281
Tl 0.237 -14.932 0.669
Pb -0.833 -11.993 2.299
Pb -0.485 -6.981 1.338
Pb -0.140 -2.019 0.387
Pb -1.178 -16.956 3.250
Mg 1.241 -0.489 -2.099
```

=====

# 12
# Dy3Tm6Th2Sc

A relaxed Dy3Tm6Th2Sc crystal (PBE-GGA, the Alexandria database).

## Properties
* symmetry: C2/m
* total DFT energy (no corrections): -61.53 eV per cell

Cell and atoms, written as extended XYZ:
```
12
Lattice="-4.771 2.043 -3.116 4.089 -3.547 -2.709 -5.745 -8.739 5.033" Properties=species:S:1:pos:R:3 pbc="T T T"
Tm -4.498 -6.960 2.326
Tm -0.111 -3.461 -0.139
Tm -6.316 -6.783 -0.653
Tm -3.062 -1.599 -0.275
Tm -3.364 -8.645 -0.517
Tm -1.928 -3.284 -3.118
Th -1.817 0.179 -2.980
Th 1.135 -1.684 -2.845
Dy -6.170 -3.257 -0.532
Dy -0.257 -6.987 -0.260
Dy -3.213 -5.122 -0.396
Sc 0.000 0.000 0.000
```